Below is an optimized crystal structure of TeP2WO, with properties calculated at the PBE+U level.

Cell: 4.574 4.574 5.497 Å, 90.00 90.00 90.00°
Fractional positions:
Te1 0.000 0.000 0.000
P1 0.000 0.500 0.500
P2 0.500 0.000 0.500
W1 0.000 0.000 0.500
O1 0.500 0.500 0.000

## Properties
Symmetry ... No. 123
Total DFT energy (no corrections) ... -20.80 eV per cell